{
  "formula": "Tb15Pr2Th2",
  "functional": "PBE",
  "state": "relaxed",
  "ef_ev_per_atom": 0.27,
  "mass_density_g_cm3": 8.0,
  "cell": [[8.588, -0.182, 1.808], [1.430, 8.470, 1.808], [-0.220, -0.182, 8.774]],
  "species": ["Tb", "Tb", "Tb", "Tb", "Tb", "Tb", "Tb", "Tb", "Tb", "Tb", "Tb", "Tb", "Tb", "Tb", "Tb", "Pr", "Pr", "Th", "Th"],
  "frac_coords": [[0.298, 0.702, 0.000], [0.368, 0.852, 0.368], [0.000, 0.298, 0.702], [0.000, 0.500, 0.000], [0.148, 0.632, 0.632], [0.368, 0.368, 0.852], [0.000, 0.000, 0.500], [0.852, 0.368, 0.368], [0.632, 0.632, 0.148], [0.000, 0.702, 0.298], [0.500, 0.000, 0.000], [0.298, 0.000, 0.702], [0.632, 0.148, 0.632], [0.702, 0.000, 0.298], [0.702, 0.298, 0.000], [0.323, 0.323, 0.323], [0.677, 0.677, 0.677], [0.913, 0.913, 0.913], [0.087, 0.087, 0.087]]
}